A plane-wave DFT calculation with PBE with a Hubbard U was carried out for a relaxed SrMnTeO6 crystal.

Summary:
- raw total energy (eV/cell) = -55.22
- crystal system = hexagonal
- energy relative to the lowest polymorph listed for this composition (kJ/mol of atoms) = 24.65

a b c (Å): 5.1639 5.1639 5.5572
angles (deg): 90.00 90.00 120.00
With the nearest neighbours (Å) after each atom.
Sites, in units of the cell vectors:
O 0.2467 0.3335 0.7191  1 Mn 1.97, 1 Te 1.97
O 0.6665 0.9132 0.2809  1 Mn 1.97, 1 Te 1.97
O 0.0868 0.7533 0.7191  1 Mn 1.97, 1 Te 1.97
O 0.6665 0.9132 0.7191  1 Mn 1.97, 1 Te 1.97
O 0.2467 0.3335 0.2809  1 Mn 1.97, 1 Te 1.97
O 0.0868 0.7533 0.2809  1 Mn 1.97, 1 Te 1.97
Te 0.0000 0.0000 0.5000  6 O 1.97
Sr 0.6667 0.3333 0.0000  6 O 2.67
Mn 0.3333 0.6667 0.5000  6 O 1.97